[1]
Here is a relaxed PmPu4Ge3 crystal from Alexandria. Energies are from PBE-GGA.

a = 7.922 Å, b = 7.922 Å, c = 8.389 Å
α = 118.18°, β = 118.18°, γ = 90.00°
Each line ends with the local moment (μB).
Fractional coordinates of all 16 atoms:
Ge 0.357 0.143 0.000  -0.11
Pu 0.812 0.312 0.312  5.47
Pu 0.000 0.812 0.312  5.47
Pm 0.000 0.000 0.000  0.10
Ge 0.750 0.750 0.500  -0.16
Pu 0.500 0.000 0.312  5.47
Ge 0.643 0.857 0.000  -0.11
Ge 0.250 0.250 0.500  -0.16
Pu 0.500 0.000 0.688  5.47
Pu 0.312 0.500 0.312  5.47
Pu 0.688 0.500 0.688  5.47
Pu 0.000 0.188 0.688  5.47
Pm 0.500 0.500 0.000  0.10
Pu 0.188 0.688 0.688  5.47
Ge 0.143 0.643 0.000  -0.11
Ge 0.857 0.357 0.000  -0.11

Computed properties:
- Magnetization: 23.09 μB/f.u.
- Crystal system: tetragonal
- Calculated total energy: -0.36447 Ha/atom
- Formation energy from the elements: -426 meV/atom

---

[2]
Here is a relaxed Dy2PuSn crystal from Alexandria. Energies are from PBE-GGA.

a = 4.606 Å, b = 4.867 Å, c = 4.867 Å
α = 90.00°, β = 90.00°, γ = 90.00°
Each line ends with the local moment (μB).
Fractional coordinates of all 4 atoms:
Sn 0.500 0.000 0.000  -0.06
Dy 0.000 0.000 0.500  0.35
Pu 0.500 0.500 0.500  5.60
Dy 0.000 0.500 0.000  0.35

Computed properties:
- Magnetization: 6.72 μB/f.u.
- Distance to the lowest polymorph of the same formula: 0 meV per atom
- Crystal system: tetragonal
- Calculated total energy: -0.26465 Ha/atom
- Formation energy from the elements: -317 meV/atom

---

[3]
Here is a relaxed RbNaSe crystal from Alexandria. Energies are from PBE-GGA.

a = 4.965 Å, b = 4.888 Å, c = 4.888 Å
α = 120.00°, β = 90.00°, γ = 90.00°
Fractional coordinates of all 3 atoms:
Se 0.168 0.333 0.667
Na 0.166 0.000 0.000
Rb 0.666 0.667 0.333

Computed properties:
- Magnetization: 0.00 μB/f.u.
- Formation energy from raw total energies: -1001 meV/atom
- Crystal system: trigonal
- Calculated total energy: -0.10747 Ha/atom

---

[4]
Here is a relaxed HfS2N crystal from Alexandria. Energies are from PBE-GGA.

a = 5.100 Å, b = 5.100 Å, c = 6.683 Å
α = 67.57°, β = 67.57°, γ = 90.00°
Fractional coordinates of all 8 atoms:
N 0.500 0.500 0.000
Hf 0.750 0.250 0.500
N 0.250 0.750 0.500
S 0.569 0.125 0.250
S 0.375 0.431 0.750
S 0.875 0.819 0.750
Hf 0.000 0.000 0.000
S 0.181 0.625 0.250

Computed properties:
- Magnetization: 0.00 μB/f.u.
- Formation energy from raw total energies: 488 meV/atom
- Crystal system: tetragonal
- Calculated total energy: -0.22586 Ha/atom

---

Repeat the second record exactly.
Here is a relaxed Dy2PuSn crystal from Alexandria. Energies are from PBE-GGA.

a = 4.606 Å, b = 4.867 Å, c = 4.867 Å
α = 90.00°, β = 90.00°, γ = 90.00°
Each line ends with the local moment (μB).
Fractional coordinates of all 4 atoms:
Sn 0.500 0.000 0.000  -0.06
Dy 0.000 0.000 0.500  0.35
Pu 0.500 0.500 0.500  5.60
Dy 0.000 0.500 0.000  0.35

Computed properties:
- Magnetization: 6.72 μB/f.u.
- Distance to the lowest polymorph of the same formula: 0 meV per atom
- Crystal system: tetragonal
- Calculated total energy: -0.26465 Ha/atom
- Formation energy from the elements: -317 meV/atom

---

Q: calculated total energy of number 1 (PmPu4Ge3)?
A: -0.36447 Ha/atom

---

Q: What is the calculated total energy in the first record?
A: -0.36447 Ha/atom

---

Q: Which of these has the lowest calculated total energy?
A: PmPu4Ge3